Record 1
HoAgPbS3 after structural relaxation. Source: OQMD, functional PBE-GGA.

## Properties
For the total DFT energy (no corrections), the calculation gives -4.936 eV per atom. As for the crystal system: monoclinic. The theoretical density is 6.79 g/cm³. Its space group is P2_1/m (11).

Cell: 7.512 4.000 9.730 Å, 90.00 105.56 90.00°
Fractional positions:
Ho 0.200 0.250 0.152
Ho 0.800 0.750 0.848
Ag 0.401 0.750 0.406
Ag 0.599 0.250 0.594
Pb 0.226 0.750 0.698
Pb 0.774 0.250 0.302
S 0.063 0.250 0.864
S 0.205 0.250 0.448
S 0.447 0.750 0.160
S 0.553 0.250 0.840
S 0.795 0.750 0.552
S 0.937 0.750 0.136


Record 2
HoAgPbS3 after structural relaxation. Source: OQMD, functional PBE-GGA.

## Properties
For the total DFT energy (no corrections), the calculation gives -4.909 eV per atom. As for the crystal system: orthorhombic. The theoretical density is 6.75 g/cm³. Its space group is Pnma (62).

Cell: 11.878 4.072 11.719 Å, 90.00 90.00 90.00°
Fractional positions:
Ho 0.028 0.250 0.167
Ho 0.472 0.750 0.667
Ho 0.528 0.250 0.333
Ho 0.972 0.750 0.833
Ag 0.244 0.750 0.315
Ag 0.256 0.250 0.815
Ag 0.744 0.750 0.185
Ag 0.756 0.250 0.685
Pb 0.162 0.250 0.521
Pb 0.338 0.750 0.021
Pb 0.662 0.250 0.979
Pb 0.838 0.750 0.479
S 0.032 0.750 0.338
S 0.086 0.250 0.933
S 0.244 0.750 0.670
S 0.256 0.250 0.170
S 0.414 0.750 0.433
S 0.468 0.250 0.838
S 0.532 0.750 0.162
S 0.586 0.250 0.567
S 0.744 0.750 0.830
S 0.756 0.250 0.330
S 0.914 0.750 0.067
S 0.968 0.250 0.662


Record 3
HoAgPbS3 after structural relaxation. Source: OQMD, functional PBE-GGA.

## Properties
For the total DFT energy (no corrections), the calculation gives -4.933 eV per atom. As for the crystal system: orthorhombic. The theoretical density is 6.91 g/cm³. Its space group is Pnma (62).

Cell: 10.446 4.021 13.185 Å, 90.00 90.00 90.00°
Fractional positions:
Ho 0.019 0.250 0.240
Ho 0.481 0.750 0.740
Ho 0.519 0.250 0.260
Ho 0.981 0.750 0.760
Ag 0.235 0.250 0.718
Ag 0.265 0.750 0.218
Ag 0.735 0.250 0.782
Ag 0.765 0.750 0.282
Pb 0.218 0.750 0.499
Pb 0.282 0.250 0.999
Pb 0.718 0.750 0.001
Pb 0.782 0.250 0.501
S 0.031 0.250 0.617
S 0.074 0.750 0.107
S 0.234 0.750 0.839
S 0.266 0.250 0.339
S 0.426 0.250 0.607
S 0.469 0.750 0.117
S 0.531 0.250 0.883
S 0.574 0.750 0.393
S 0.734 0.750 0.661
S 0.766 0.250 0.161
S 0.926 0.250 0.893
S 0.969 0.750 0.383


Record 4
HoAgPbS3 after structural relaxation. Source: OQMD, functional PBE-GGA.

## Properties
For the total DFT energy (no corrections), the calculation gives -4.910 eV per atom. As for the crystal system: orthorhombic. The theoretical density is 7.06 g/cm³. Its space group is Pnma (62).

Cell: 8.136 4.160 16.015 Å, 90.00 90.00 90.00°
Fractional positions:
Ho 0.242 0.250 0.037
Ho 0.258 0.750 0.537
Ho 0.742 0.250 0.463
Ho 0.758 0.750 0.963
Ag 0.124 0.250 0.365
Ag 0.376 0.750 0.865
Ag 0.624 0.250 0.135
Ag 0.876 0.750 0.635
Pb 0.082 0.250 0.773
Pb 0.418 0.750 0.273
Pb 0.582 0.250 0.727
Pb 0.918 0.750 0.227
S 0.036 0.250 0.588
S 0.115 0.750 0.948
S 0.180 0.250 0.207
S 0.320 0.750 0.707
S 0.385 0.250 0.448
S 0.464 0.750 0.088
S 0.536 0.250 0.912
S 0.615 0.750 0.552
S 0.680 0.250 0.293
S 0.820 0.750 0.793
S 0.885 0.250 0.052
S 0.964 0.750 0.412


Record 5
HoAgPbS3 after structural relaxation. Source: OQMD, functional PBE-GGA.

## Properties
For the total DFT energy (no corrections), the calculation gives -4.960 eV per atom. As for the crystal system: monoclinic. The theoretical density is 6.86 g/cm³. Its space group is C2/m (12).

Cell: 8.909 8.909 8.383 Å, 103.24 103.24 25.54°
Fractional positions:
Ho 0.164 0.164 0.086
Ho 0.836 0.836 0.914
Ag 0.477 0.477 0.787
Ag 0.523 0.523 0.213
Pb 0.134 0.134 0.572
Pb 0.866 0.866 0.428
S 0.000 0.000 0.000
S 0.319 0.319 0.683
S 0.327 0.327 0.138
S 0.500 0.500 0.500
S 0.673 0.673 0.862
S 0.681 0.681 0.317


Record 6
HoAgPbS3 after structural relaxation. Source: OQMD, functional PBE-GGA.

## Properties
For the total DFT energy (no corrections), the calculation gives -4.956 eV per atom. As for the crystal system: orthorhombic. The theoretical density is 6.53 g/cm³. Its space group is Pnma (62).

Cell: 13.299 4.058 10.865 Å, 90.00 90.00 90.00°
Fractional positions:
Ho 0.014 0.250 0.162
Ho 0.486 0.750 0.662
Ho 0.514 0.250 0.338
Ho 0.986 0.750 0.838
Ag 0.020 0.750 0.411
Ag 0.480 0.250 0.911
Ag 0.520 0.750 0.089
Ag 0.980 0.250 0.589
Pb 0.242 0.250 0.519
Pb 0.258 0.750 0.019
Pb 0.742 0.250 0.981
Pb 0.758 0.750 0.481
S 0.105 0.250 0.937
S 0.106 0.750 0.631
S 0.140 0.750 0.230
S 0.360 0.250 0.730
S 0.394 0.250 0.131
S 0.395 0.750 0.437
S 0.605 0.250 0.563
S 0.606 0.750 0.869
S 0.640 0.750 0.270
S 0.860 0.250 0.770
S 0.894 0.250 0.369
S 0.895 0.750 0.063


Record 7
HoAgPbS3 after structural relaxation. Source: OQMD, functional PBE-GGA.

## Properties
For the total DFT energy (no corrections), the calculation gives -4.928 eV per atom. As for the crystal system: orthorhombic. The theoretical density is 6.97 g/cm³. Its space group is Cmcm (63).

Cell: 6.893 6.893 10.373 Å, 90.00 90.00 146.12°
Fractional positions:
Ho 0.000 0.000 0.000
Ho 0.000 0.000 0.500
Ag 0.462 0.538 0.750
Ag 0.538 0.462 0.250
Pb 0.251 0.749 0.250
Pb 0.749 0.251 0.750
S 0.086 0.914 0.750
S 0.361 0.639 0.549
S 0.361 0.639 0.951
S 0.639 0.361 0.049
S 0.639 0.361 0.451
S 0.914 0.086 0.250


Record 8
HoAgPbSe2S after structural relaxation. Source: OQMD, functional PBE-GGA.

## Properties
For the total DFT energy (no corrections), the calculation gives -4.684 eV per atom. As for the crystal system: orthorhombic. The theoretical density is 7.59 g/cm³. Its space group is Cmcm (63).

Cell: 7.136 7.136 10.373 Å, 90.00 90.00 146.30°
Fractional positions:
Ho 0.000 0.000 0.000
Ho 0.000 0.000 0.500
Ag 0.470 0.530 0.750
Ag 0.530 0.470 0.250
Pb 0.256 0.744 0.250
Pb 0.744 0.256 0.750
Se 0.355 0.645 0.549
Se 0.355 0.645 0.951
Se 0.645 0.355 0.049
Se 0.645 0.355 0.451
S 0.082 0.918 0.750
S 0.918 0.082 0.250


Record 9
HoAgPbSeS2 after structural relaxation. Source: OQMD, functional PBE-GGA.

## Properties
For the total DFT energy (no corrections), the calculation gives -4.794 eV per atom. As for the crystal system: orthorhombic. The theoretical density is 7.13 g/cm³. Its space group is Cmcm (63).

Cell: 7.034 7.034 10.703 Å, 90.00 90.00 146.75°
Fractional positions:
Ho 0.000 0.000 0.000
Ho 0.000 0.000 0.500
Ag 0.467 0.533 0.750
Ag 0.533 0.467 0.250
Pb 0.233 0.767 0.250
Pb 0.767 0.233 0.750
Se 0.097 0.903 0.750
Se 0.903 0.097 0.250
S 0.366 0.634 0.555
S 0.366 0.634 0.945
S 0.634 0.366 0.055
S 0.634 0.366 0.445


Record 10
HoAgTe2PbS after structural relaxation. Source: OQMD, functional PBE-GGA.

## Properties
For the total DFT energy (no corrections), the calculation gives -4.394 eV per atom. As for the crystal system: orthorhombic. The theoretical density is 7.73 g/cm³. Its space group is Cmcm (63).

Cell: 7.607 7.607 10.403 Å, 90.00 90.00 146.79°
Fractional positions:
Ho 0.000 0.000 0.000
Ho 0.000 0.000 0.500
Ag 0.482 0.518 0.750
Ag 0.518 0.482 0.250
Te 0.352 0.648 0.553
Te 0.352 0.648 0.947
Te 0.648 0.352 0.053
Te 0.648 0.352 0.447
Pb 0.267 0.733 0.250
Pb 0.733 0.267 0.750
S 0.076 0.924 0.750
S 0.924 0.076 0.250


Record 11
HoAgPbSe3 after structural relaxation. Source: OQMD, functional PBE-GGA.

## Properties
For the total DFT energy (no corrections), the calculation gives -4.564 eV per atom. As for the crystal system: monoclinic. The theoretical density is 7.63 g/cm³. Its space group is C2/m (12).

Cell: 9.255 9.255 8.673 Å, 102.73 102.73 25.56°
Fractional positions:
Ho 0.165 0.165 0.088
Ho 0.835 0.835 0.912
Ag 0.471 0.471 0.788
Ag 0.529 0.529 0.212
Pb 0.133 0.133 0.573
Pb 0.867 0.867 0.427
Se 0.000 0.000 0.000
Se 0.316 0.316 0.675
Se 0.328 0.328 0.141
Se 0.500 0.500 0.500
Se 0.672 0.672 0.859
Se 0.684 0.684 0.325


Record 12
HoAgPbSe3 after structural relaxation. Source: OQMD, functional PBE-GGA.

## Properties
For the total DFT energy (no corrections), the calculation gives -4.556 eV per atom. As for the crystal system: orthorhombic. The theoretical density is 7.82 g/cm³. Its space group is Pnma (62).

Cell: 10.708 4.138 13.734 Å, 90.00 90.00 90.00°
Fractional positions:
Ho 0.013 0.250 0.246
Ho 0.487 0.750 0.746
Ho 0.513 0.250 0.254
Ho 0.987 0.750 0.754
Ag 0.241 0.250 0.718
Ag 0.259 0.750 0.218
Ag 0.741 0.250 0.782
Ag 0.759 0.750 0.282
Pb 0.233 0.750 0.509
Pb 0.267 0.250 0.009
Pb 0.733 0.750 0.991
Pb 0.767 0.250 0.491
Se 0.038 0.250 0.610
Se 0.064 0.750 0.105
Se 0.238 0.750 0.841
Se 0.262 0.250 0.341
Se 0.436 0.250 0.605
Se 0.462 0.750 0.110
Se 0.538 0.250 0.890
Se 0.564 0.750 0.395
Se 0.738 0.750 0.659
Se 0.762 0.250 0.159
Se 0.936 0.250 0.895
Se 0.962 0.750 0.390